Density functional theory data (PBE) for a relaxed structure of KOsW.

CIF file:
```
data_KOsW
_symmetry_space_group_name_H-M 'F m m 2'
_symmetry_Int_Tables_number 42
_symmetry_space_group_name_Hall 'F 2 -2'
_cell_length_a 3.033
_cell_length_b 4.660
_cell_length_c 16.461
_cell_angle_alpha 90.00
_cell_angle_beta 90.00
_cell_angle_gamma 90.00
loop_
_atom_site_label
_atom_site_type_symbol
_atom_site_fract_x
_atom_site_fract_y
_atom_site_fract_z
K1 K 0.000 0.000 0.000
Os1 Os 0.000 0.000 0.676
W1 W 0.000 0.000 0.305
```

Properties
* energy of formation from the pure elements: 1.057 eV/atom
* D(E_F): 3.87 states/eV/f.u.
* total energy: -88.44 eV/cell
* energy above the lowest structure with this stoichiometry: 115 meV per atom